This record from Alexandria via LeMat-Bulk describes Gd2MnRu after structural relaxation. The functional is PBE.

Lattice parameters (Å, degrees): 4.9339 4.9339 3.4656 90.00 90.00 90.00
With the nearest neighbours (Å) after each atom.
Space group P4/mmm (No. 123)
One atom of each set of equivalent atoms:
Gd (0.0000, 0.5000, 0.0000) [2 per cell]  4 Mn 3.01, 4 Ru 3.01
Mn (0.0000, 0.0000, 0.5000) [1 per cell]  8 Gd 3.01
Ru (0.5000, 0.5000, 0.5000) [1 per cell]  8 Gd 3.01

Density   9.26 Mg/m³
D(E_F)   3.15 states/eV per cell
E_form   -0.21 eV per formula unit
ΔE to the lowest computed polymorph   0 meV per atom



This record from Alexandria via LeMat-Bulk describes Ga2SiNi4 after structural relaxation. The functional is PBE.

Lattice parameters (Å, degrees): 4.1333 4.1333 12.2962 90.00 90.00 90.00
With the nearest neighbours (Å) after each atom.
Space group I4/mmm (No. 139)
One atom of each set of equivalent atoms:
Ga (0.0000, 0.0000, 0.1297) [4 per cell]  5 Ni 2.34-2.61
Si (0.0000, 0.0000, 0.5000) [2 per cell]  6 Ni 2.07-2.21
Ni (0.0000, 0.0000, 0.3200) [4 per cell]  1 Si 2.21, 1 Ga 2.34
Ni (0.0000, 0.5000, 0.0000) [4 per cell]  2 Si 2.07

Density   6.36 Mg/m³
Formation energy from raw total energies   0.18 eV/atom
D(E_F)   11.55 states/eV per cell



This record from Alexandria via LeMat-Bulk describes TlNiBr2 after structural relaxation. The functional is PBE.

Lattice parameters (Å, degrees): 12.7486 3.6519 5.9864 90.00 96.60 90.00
With the nearest neighbours (Å) after each atom.
Space group Cm (No. 8)
One atom of each set of equivalent atoms:
Tl (0.0000, 0.0000, 0.0000) [2 per cell]  1 Ni 2.74
Ni (0.1390, 0.0000, 0.6829) [2 per cell]  4 Br 2.46-2.49, 1 Tl 2.74
Br (0.0400, 0.5000, 0.4697) [2 per cell]  2 Ni 2.49
Br (0.2386, 0.5000, 0.8841) [2 per cell]  2 Ni 2.46

Density   5.07 Mg/m³
Formation energy from raw total energies   -0.34 eV/atom
D(E_F)   0.29 states/eV per cell
ΔE to the lowest computed polymorph   10 meV per atom



This record from Alexandria via LeMat-Bulk describes LiI3O after structural relaxation. The functional is PBE.

Lattice parameters (Å, degrees): 5.1773 5.1773 5.1773 90.00 90.00 90.00
With the nearest neighbours (Å) after each atom.
Space group Pm-3m (No. 221)
One atom of each set of equivalent atoms:
Li (0.0000, 0.0000, 0.0000) [1 per cell]  12 I 3.66
I (0.0000, 0.5000, 0.5000) [3 per cell]  2 O 2.59
O (0.5000, 0.5000, 0.5000) [1 per cell]  6 I 2.59

Density   4.83 Mg/m³
Formation energy from raw total energies   -0.02 eV/atom
D(E_F)   2.58 states/eV per cell
ΔE to the lowest computed polymorph   0 meV per atom



This record from Alexandria via LeMat-Bulk describes Ta2AgSb after structural relaxation. The functional is PBE.

Lattice parameters (Å, degrees): 3.5281 3.5281 6.0987 90.00 90.00 90.00
With the nearest neighbours (Å) after each atom.
Space group P4/mmm (No. 123)
One atom of each set of equivalent atoms:
Ta (0.0000, 0.0000, 0.2413) [2 per cell]  4 Sb 2.90, 2 Ta 2.94-3.15, 4 Ag 2.95
Ag (0.5000, 0.5000, 0.5000) [1 per cell]  8 Ta 2.95, 2 Sb 3.05
Sb (0.5000, 0.5000, 0.0000) [1 per cell]  8 Ta 2.90, 2 Ag 3.05

Density   12.94 Mg/m³
Formation energy from raw total energies   0.38 eV/atom
D(E_F)   3.62 states/eV per cell



This record from Alexandria via LeMat-Bulk describes KBa2Ni after structural relaxation. The functional is PBE.

Lattice parameters (Å, degrees): 3.9458 3.9458 11.4241 90.00 90.00 90.00
With the nearest neighbours (Å) after each atom.
Space group P4/mmm (No. 123)
One atom of each set of equivalent atoms:
K (0.0000, 0.0000, 0.0000) [1 per cell]  4 K 3.95
Ba (0.5000, 0.5000, 0.3417) [2 per cell]  4 Ni 3.32, 1 Ba 3.62
Ni (0.0000, 0.0000, 0.5000) [1 per cell]  8 Ba 3.32

Density   3.48 Mg/m³
D(E_F)   4.89 states/eV per cell
E_form   0.51 eV per formula unit
ΔE to the lowest computed polymorph   89 meV per atom